1.
This record from Alexandria via LeMat-Bulk describes crystalline Pu2ZnCo at its relaxed geometry. The functional is PBE.

Cell lengths 3.1633, 3.1633, 7.9504 Å; angles 90.00, 90.00, 90.00 degrees
Closest atoms and distances in Å follow each position.
Space group P4/mmm (No. 123)
Asymmetric unit:
Pu 0.0000 0.0000 0.2203 x2  4 Co 2.84, 4 Zn 3.15, 4 Pu 3.16
Zn 0.5000 0.5000 0.5000 x1  8 Pu 3.15, 4 Zn 3.16
Co 0.5000 0.5000 0.0000 x1  8 Pu 2.84, 4 Co 3.16

ΔE to the lowest computed polymorph = 0.00 eV/f.u.
Energy of formation = -1 meV/atom

2.
This record from Alexandria via LeMat-Bulk describes crystalline HfTiAlIn at its relaxed geometry. The functional is PBE.

Cell lengths 2.9830, 2.9830, 8.5299 Å; angles 90.00, 90.00, 90.00 degrees
Closest atoms and distances in Å follow each position.
Space group P4mm (No. 99)
Asymmetric unit:
Hf 0.0000 0.0000 0.0000 x1  4 Al 2.93, 4 Hf 2.98, 4 In 3.20
Ti 0.0000 0.0000 0.5432 x1  4 Al 2.81, 4 Ti 2.98, 4 In 3.07
Al 0.5000 0.5000 0.7611 x1  4 Ti 2.81, 4 Hf 2.93, 4 Al 2.98
In 0.5000 0.5000 0.2820 x1  4 In 2.98, 4 Ti 3.07, 4 Hf 3.20

Energy of formation = -266 meV/atom

3.
This record from Alexandria via LeMat-Bulk describes crystalline CsSi2Au at its relaxed geometry. The functional is PBE.

Cell lengths 5.2473, 5.2473, 17.3773 Å; angles 90.00, 90.00, 90.00 degrees
Closest atoms and distances in Å follow each position.
Space group I4_1/amd (No. 141, origin choice 2)
Asymmetric unit:
Cs 0.0000 0.2500 0.3750 x4  8 Si 3.65, 4 Au 3.71
Si 0.0000 0.0000 0.0000 x8  2 Au 2.54, 2 Si 2.62
Au 0.0000 0.2500 0.8750 x4  4 Si 2.54

Formation energy without anion corrections = 0.839 eV per formula unit
ΔE to the lowest computed polymorph = 0.00 eV/f.u.

4.
This record from Alexandria via LeMat-Bulk describes crystalline Li3B8C8 at its relaxed geometry. The functional is PBE.

Cell lengths 2.7331, 2.7331, 24.4884 Å; angles 90.00, 90.00, 120.00 degrees
Closest atoms and distances in Å follow each position.
Space group P-3m1 (No. 164)
Asymmetric unit:
Li 0.0000 0.0000 0.0000 x1  6 C 2.37, 6 B 2.37
Li 0.0000 0.0000 0.1471 x2  6 C 2.32-2.42, 6 B 2.37-2.41
B 0.3333 0.6667 0.2193 x2  3 C 1.58
B 0.3333 0.6667 0.4325 x2  3 C 1.58
B 0.3333 0.6667 0.6474 x2  3 C 1.58
B 0.3333 0.6667 0.9275 x2  3 C 1.58
C 0.3333 0.6667 0.0721 x2  3 B 1.58
C 0.3333 0.6667 0.3511 x2  3 B 1.58
C 0.3333 0.6667 0.5657 x2  3 B 1.58
C 0.3333 0.6667 0.7833 x2  3 B 1.58

ΔE to the lowest computed polymorph = 1.34 eV/f.u.
Energy of formation = 77 meV/atom

5.
This record from Alexandria via LeMat-Bulk describes crystalline KCSe3 at its relaxed geometry. The functional is PBE.

Cell lengths 5.6833, 5.6833, 5.6833 Å; angles 90.00, 90.00, 90.00 degrees
Closest atoms and distances in Å follow each position.
Space group Pm-3m (No. 221)
Asymmetric unit:
K 0.0000 0.0000 0.0000 x1  6 Se 2.84
C 0.5000 0.5000 0.5000 x1  12 Se 4.02
Se 0.0000 0.0000 0.5000 x3  2 K 2.84

Formation energy without anion corrections = 12.504 eV per formula unit
ΔE to the lowest computed polymorph = 9.11 eV/f.u.

6.
This record from Alexandria via LeMat-Bulk describes crystalline Li2RhI at its relaxed geometry. The functional is PBE.

Cell lengths 6.4192, 6.4192, 6.4192 Å; angles 90.00, 90.00, 90.00 degrees
Closest atoms and distances in Å follow each position.
Space group Fm-3m (No. 225)
Asymmetric unit:
Li 0.2500 0.2500 0.2500 x8  4 Rh 2.78, 4 I 2.78
Rh 0.0000 0.0000 0.0000 x4  8 Li 2.78
I 0.0000 0.0000 0.5000 x4  8 Li 2.78

Formation energy without anion corrections = -0.272 eV per formula unit
ΔE to the lowest computed polymorph = 0.70 eV/f.u.

7.
This record from Alexandria via LeMat-Bulk describes crystalline TiAlAu2 at its relaxed geometry. The functional is PBE.

Cell lengths 3.0895, 3.0895, 7.0613 Å; angles 90.00, 90.00, 90.00 degrees
Closest atoms and distances in Å follow each position.
Space group P4/mmm (No. 123)
Asymmetric unit:
Ti 0.0000 0.0000 0.0000 x1  8 Au 2.86, 4 Ti 3.09
Al 0.0000 0.0000 0.5000 x1  8 Au 2.75
Au 0.5000 0.5000 0.2624 x2  4 Al 2.75, 4 Ti 2.86

Energy of formation = -402 meV/atom

8.
This record from Alexandria via LeMat-Bulk describes crystalline TlCdBiPb at its relaxed geometry. The functional is PBE.

Cell lengths 7.8846, 7.8846, 7.8846 Å; angles 90.00, 90.00, 90.00 degrees
Closest atoms and distances in Å follow each position.
Space group F-43m (No. 216)
Asymmetric unit:
Tl 0.0000 0.0000 0.0000 x4  4 Cd 3.41, 4 Bi 3.41
Cd 0.2500 0.2500 0.2500 x4  4 Tl 3.41, 4 Pb 3.41
Bi 0.2500 0.2500 0.7500 x4  4 Tl 3.41, 4 Pb 3.41
Pb 0.0000 0.0000 0.5000 x4  4 Cd 3.41, 4 Bi 3.41

ΔE to the lowest computed polymorph = 0.06 eV/f.u.
Energy of formation = 61 meV/atom

9.
This record from Alexandria via LeMat-Bulk describes crystalline TaGaSe2N at its relaxed geometry. The functional is PBE.

Cell lengths 5.0631, 5.0631, 3.5407 Å; angles 90.00, 90.00, 90.00 degrees
Closest atoms and distances in Å follow each position.
Space group P4/mmm (No. 123)
Asymmetric unit:
Ta 0.0000 0.0000 0.0000 x1  8 Se 3.09
Ga 0.5000 0.5000 0.5000 x1  2 N 1.77
Se 0.0000 0.5000 0.5000 x2  2 Ga 2.53
N 0.5000 0.5000 0.0000 x1  2 Ga 1.77

Formation energy without anion corrections = 4.202 eV per formula unit
ΔE to the lowest computed polymorph = 4.91 eV/f.u.

10.
This record from Alexandria via LeMat-Bulk describes crystalline ThPaAu2 at its relaxed geometry. The functional is PBE.

Cell lengths 3.3225, 3.3225, 8.6270 Å; angles 90.00, 90.00, 90.00 degrees
Closest atoms and distances in Å follow each position.
Space group P4/mmm (No. 123)
Asymmetric unit:
Th 0.0000 0.0000 0.0000 x1  8 Au 3.24, 4 Th 3.32
Pa 0.0000 0.0000 0.5000 x1  8 Au 3.14, 4 Pa 3.32
Au 0.5000 0.5000 0.2587 x2  4 Pa 3.14, 4 Th 3.24, 4 Au 3.32

ΔE to the lowest computed polymorph = 0.00 eV/f.u.
Energy of formation = -383 meV/atom

11.
This record from Alexandria via LeMat-Bulk describes crystalline Cd8Hg2Au at its relaxed geometry. The functional is PBE.

Cell lengths 17.5922, 4.3814, 6.8449 Å; angles 90.00, 110.66, 90.00 degrees
Closest atoms and distances in Å follow each position.
Space group C2/m (No. 12)
Asymmetric unit:
Cd 0.0388 0.0000 0.2337 x4  9 Cd 2.94-3.28, 2 Au 3.08
Cd 0.0888 0.5000 0.9516 x4  1 Au 2.93, 7 Cd 2.97-3.24, 2 Hg 3.15
Cd 0.1335 0.0000 0.6832 x4  6 Cd 2.94-3.28, 3 Hg 2.99-3.23, 2 Au 3.13
Cd 0.1749 0.5000 0.4113 x4  3 Hg 2.94-3.15, 5 Cd 2.97-3.16
Hg 0.2231 0.0000 0.1444 x4  8 Cd 2.94-3.23
Au 0.0000 0.5000 0.5000 x2  10 Cd 2.93-3.13

Energy of formation = -20 meV/atom

12.
This record from Alexandria via LeMat-Bulk describes crystalline HfPaNi4 at its relaxed geometry. The functional is PBE.

Cell lengths 7.0499, 7.0499, 7.0499 Å; angles 90.00, 90.00, 90.00 degrees
Closest atoms and distances in Å follow each position.
Space group F-43m (No. 216)
Asymmetric unit:
Hf 0.0000 0.0000 0.0000 x4  12 Ni 2.92, 4 Pa 3.05
Pa 0.2500 0.2500 0.7500 x4  12 Ni 2.92, 4 Hf 3.05
Ni 0.1258 0.1258 0.3742 x16  6 Ni 2.48-2.51

Energy of formation = -379 meV/atom